# 1
DFT (PBE) results for a relaxed KPu2Te4Au crystal.

Output
SG   No. 63
N(E_F)   50.4 states/eV per cell
Magnetization   1.2499 μB/atom
E_form (uncorrected)   -0.89 eV per atom

Cell: 7.8930 7.8930 15.6116 Å, 90.00 90.00 146.97°
Last column: nearest neighbours and their distance in Å.
Fractional positions:
K  0.1253  0.8747  0.7500  6 Te 3.46-3.55
K  0.8747  0.1253  0.2500  6 Te 3.46-3.55
Pu  0.3685  0.6315  0.5676  6 Te 3.11-3.18
Pu  0.3685  0.6315  0.9324  6 Te 3.11-3.18
Pu  0.6315  0.3685  0.0676  6 Te 3.11-3.18
Pu  0.6315  0.3685  0.4324  6 Te 3.11-3.18
Te  0.0000  0.0000  0.0000  4 Pu 3.18
Te  0.0000  0.0000  0.5000  4 Pu 3.18
Te  0.2678  0.7322  0.1077  1 Au 2.81, 3 Pu 3.11-3.13
Te  0.2678  0.7322  0.3923  1 Au 2.81, 3 Pu 3.11-3.13
Te  0.4510  0.5490  0.7500  2 Au 2.75
Te  0.5490  0.4510  0.2500  2 Au 2.75
Te  0.7322  0.2678  0.6077  1 Au 2.81, 3 Pu 3.11-3.13
Te  0.7322  0.2678  0.8923  1 Au 2.81, 3 Pu 3.11-3.13
Au  0.1543  0.8457  0.2500  4 Te 2.75-2.81
Au  0.8457  0.1543  0.7500  4 Te 2.75-2.81



# 2
DFT (PBE) results for a relaxed Ac2NpCrN5 crystal.

Output
SG   No. 36
N(E_F)   10.9 states/eV per cell
Magnetization   0.1516 μB/atom
E_form (uncorrected)   -1.00 eV per atom

Cell: 7.5264 7.5264 10.8277 Å, 90.00 90.00 152.66°
Last column: nearest neighbours and their distance in Å.
Fractional positions:
Ac  0.1144  0.8856  0.5000  6 N 2.67-2.90
Ac  0.1374  0.8626  0.1473  7 N 2.67-2.85
Ac  0.8626  0.1374  0.6473  7 N 2.67-2.85
Ac  0.8856  0.1144  0.0000  6 N 2.67-2.90
Np  0.1919  0.8081  0.8416  5 N 2.07-2.30
Np  0.8081  0.1919  0.3416  5 N 2.07-2.30
Cr  0.4561  0.5439  0.2577  3 N 1.72-1.91
Cr  0.5439  0.4561  0.7577  3 N 1.72-1.91
N  0.0326  0.9674  0.8204  2 Cr 1.91
N  0.2954  0.7046  0.4711  2 Np 2.27
N  0.3266  0.6734  0.2095  1 Cr 1.97
N  0.3329  0.6671  0.8264  1 Np 2.07
N  0.4972  0.5028  0.6121  1 Cr 1.72
N  0.5028  0.4972  0.1121  1 Cr 1.72
N  0.6671  0.3329  0.3264  1 Np 2.07
N  0.6734  0.3266  0.7095  1 Cr 1.97
N  0.7046  0.2954  0.9711  2 Np 2.27
N  0.9674  0.0326  0.3204  2 Cr 1.91



# 3
DFT (PBE) results for a relaxed Sr2ZnP crystal.

Output
ΔH_f (0 K)   -2.09 eV/f.u.
SG   No. 44
N(E_F)   2.0 states/eV per cell
Magnetization   0.0000 μB/atom

Cell: 7.8068 7.8068 7.8068 Å, 149.53 147.67 45.02°
Last column: nearest neighbours and their distance in Å.
Fractional positions:
Sr  0.0000  0.0000  0.0000  4 Zn 3.16, 2 P 3.30
Sr  0.7592  0.2592  0.5000  4 P 3.15, 2 Zn 3.27
Zn  0.4287  0.4287  0.0000  2 P 2.51
P  0.3279  0.8279  0.5000  2 Zn 2.51



# 4
DFT (PBE) results for a relaxed GaAs3O9 crystal.

Output
SG   No. 9
N(E_F)   0.0 states/eV per cell
Magnetization   0.0000 μB/atom
E_form (uncorrected)   -1.21 eV per atom

Cell: 7.6775 7.6775 9.8575 Å, 122.72 122.72 52.29°
Last column: nearest neighbours and their distance in Å.
Fractional positions:
Ga  0.2352  0.7648  0.5000  6 O 1.98-2.02
Ga  0.7648  0.2352  0.0000  6 O 1.98-2.02
As  0.2198  0.3011  0.7717  4 O 1.67-1.79
As  0.3011  0.2198  0.2717  4 O 1.67-1.79
As  0.5500  0.7120  0.3207  4 O 1.68-1.78
As  0.7120  0.5500  0.8207  4 O 1.68-1.78
As  0.7664  0.9740  0.1819  4 O 1.67-1.78
As  0.9740  0.7664  0.6819  4 O 1.67-1.78
O  0.0115  0.4627  0.8787  2 As 1.78-1.79
O  0.0920  0.8824  0.6705  1 As 1.68
O  0.0961  0.1756  0.0847  1 As 1.68
O  0.1756  0.0961  0.5847  1 As 1.68
O  0.2063  0.5089  0.7325  2 As 1.77
O  0.2329  0.4688  0.4300  1 As 1.67
O  0.3514  0.6862  0.3255  1 As 1.68
O  0.4627  0.0115  0.3787  2 As 1.78-1.79
O  0.4688  0.2329  0.9300  1 As 1.67
O  0.5089  0.2063  0.2325  2 As 1.77
O  0.5668  0.6235  0.6428  1 As 1.68
O  0.6235  0.5668  0.1428  1 As 1.68
O  0.6315  0.8100  0.9887  2 As 1.77-1.78
O  0.6862  0.3514  0.8255  1 As 1.68
O  0.8100  0.6315  0.4887  2 As 1.77-1.78
O  0.8307  0.9263  0.8228  1 As 1.67
O  0.8824  0.0920  0.1705  1 As 1.68
O  0.9263  0.8307  0.3228  1 As 1.67



# 5
DFT (PBE) results for a relaxed LiMg4Hg crystal.

Output
ΔH_f (0 K)   0.30 eV/f.u.
SG   No. 216
N(E_F)   3.5 states/eV per cell
Magnetization   0.0000 μB/atom

Cell: 5.8167 5.8167 5.8167 Å, 60.00 60.00 60.00°
Last column: nearest neighbours and their distance in Å.
Fractional positions:
Li  0.0000  0.0000  0.0000  12 Mg 3.41, 4 Hg 3.56
Mg  0.1264  0.6245  0.6245  6 Mg 2.90-2.92
Mg  0.6245  0.1264  0.6245  6 Mg 2.90-2.92
Mg  0.6245  0.6245  0.1264  6 Mg 2.90-2.92
Mg  0.6245  0.6245  0.6245  6 Mg 2.90-2.92
Hg  0.2500  0.2500  0.2500  12 Mg 3.41, 4 Li 3.56



# 6
DFT (PBE) results for a relaxed As2PW crystal.

Output
ΔH_f (0 K)   1.72 eV/f.u.
SG   No. 35
N(E_F)   2.2 states/eV per cell
Magnetization   0.0000 μB/atom

Cell: 2.8513 2.8513 9.2670 Å, 90.00 90.00 109.63°
Last column: nearest neighbours and their distance in Å.
Fractional positions:
As  0.0000  0.0000  0.0000  6 As 2.85-2.96
As  0.5000  0.5000  0.2652  2 W 2.74, 6 As 2.85-2.96
P  0.5000  0.5000  0.6947  2 W 2.43
W  0.0000  0.0000  0.5013  2 P 2.43